Entry from the Alexandria database: a relaxed structure of LiCe2TmTl4 (PBE-GGA).

Properties
DFT total energy: -3.73 eV per atom

Cell: 5.3172 5.3172 26.7143 Å, 90.00 90.00 120.00°
Space group R-3m (No. 166, hexagonal axes)
Asymmetric unit:
Li: 0.0000 0.0000 0.0000 x3
Ce: 0.0000 0.0000 0.2536 x6
Tm: 0.0000 0.0000 0.5000 x3
Tl: 0.0000 0.0000 0.1236 x6
Tl: 0.0000 0.0000 0.3735 x6